No. 1
The following is a GGA-PBE calculation of an optimized crystal structure of CsPrPb2I8, from the Alexandria database.

Unit cell a=7.934 b=7.550 c=10.098 alpha=89.76 beta=89.82 gamma=88.64
Positions (direct):
Cs1 0.000 0.000 0.500
Pr1 0.000 0.000 0.000
Pb1 0.500 0.500 0.747
Pb2 0.500 0.500 0.253
I1 0.156 0.740 0.213
I2 0.669 0.760 0.000
I3 0.842 0.258 0.212
I4 0.844 0.260 0.787
I5 0.331 0.240 0.000
I6 0.158 0.742 0.788
I7 0.610 0.734 0.499
I8 0.390 0.266 0.501

Calculated values
* formation energy from raw total energies: -1.0023 eV per atom
* energy: -3.1232 eV per atom
* SG: P-1 (2)



No. 2
The following is a GGA-PBE calculation of an optimized crystal structure of InPAu2, from the Alexandria database.

Unit cell a=3.811 b=3.811 c=6.887 alpha=73.63 beta=73.63 gamma=59.95
Positions (direct):
Au1 0.989 0.989 0.037
Au2 0.511 0.511 0.463
In1 0.750 0.750 0.750
P1 0.250 0.250 0.250

Calculated values
* formation enthalpy at 0 K: 1.7 kcal/mol of atoms
* energy: -3.6041 eV per atom
* SG: C2/m (12)
* energy above the most stable polymorph in this dataset: 116.4 meV per atom



No. 3
The following is a GGA-PBE calculation of an optimized crystal structure of Tm6Ge2SbTe3, from the Alexandria database.

Unit cell a=4.237 b=8.575 c=9.539 alpha=103.37 beta=102.83 gamma=90.00
Positions (direct):
Tm1 0.332 0.889 0.665
Tm2 0.675 0.566 0.349
Tm3 0.668 0.111 0.335
Tm4 0.012 0.251 0.023
Tm5 0.988 0.749 0.977
Tm6 0.325 0.434 0.651
Ge1 0.832 0.664 0.664
Ge2 0.168 0.336 0.336
Sb1 0.500 0.000 0.000
Te1 0.500 0.500 0.000
Te2 0.837 0.166 0.674
Te3 0.163 0.834 0.326

Calculated values
* formation energy from raw total energies: -1.1677 eV per atom
* energy: -5.3019 eV per atom
* SG: C2/m (12)



No. 4
The following is a GGA-PBE calculation of an optimized crystal structure of Nb5Pt, from the Alexandria database.

Unit cell a=4.635 b=4.622 c=5.474 alpha=114.97 beta=90.00 gamma=90.00
Positions (direct):
Nb1 0.500 0.833 0.665
Nb2 0.000 0.666 0.332
Nb3 0.500 0.500 0.000
Nb4 0.000 0.334 0.668
Nb5 0.500 0.167 0.335
Pt1 0.000 0.000 0.000

Calculated values
* formation enthalpy at 0 K: -5.4 kcal/mol of atoms
* energy: -9.6340 eV per atom
* SG: Cmmm (65)
* energy above the most stable polymorph in this dataset: 24.9 meV per atom



No. 5
The following is a GGA-PBE calculation of an optimized crystal structure of Ac4ScPb8, from the Alexandria database.

Unit cell a=4.784 b=4.957 c=18.588 alpha=90.00 beta=90.00 gamma=90.00
Positions (direct):
Ac1 0.000 0.000 0.089
Ac2 0.000 0.500 0.608
Ac3 0.500 0.500 0.400
Ac4 0.500 0.000 0.896
Sc1 0.000 0.000 0.316
Pb1 0.000 0.000 0.469
Pb2 0.000 0.500 0.931
Pb3 0.500 0.500 0.048
Pb4 0.500 0.000 0.586
Pb5 0.000 0.500 0.229
Pb6 0.000 0.000 0.748
Pb7 0.500 0.000 0.226
Pb8 0.500 0.500 0.756

Calculated values
* formation enthalpy at 0 K: -9.8 kcal/mol of atoms
* energy: -4.4570 eV per atom
* SG: Pmm2 (25)



No. 6
The following is a GGA-PBE calculation of an optimized crystal structure of CaGe2, from the Alexandria database.

Unit cell a=3.588 b=3.588 c=5.803 alpha=108.01 beta=108.01 gamma=90.00
Positions (direct):
Ge1 0.700 0.700 0.401
Ge2 0.300 0.300 0.599
Ca1 0.000 0.000 0.000

Calculated values
* formation enthalpy at 0 K: -6.9 kcal/mol of atoms
* energy: -4.0464 eV per atom
* SG: I4/mmm (139)



No. 7
The following is a GGA-PBE calculation of an optimized crystal structure of Y2LuTh, from the Alexandria database.

Unit cell a=5.652 b=5.652 c=5.652 alpha=60.00 beta=60.00 gamma=60.00
Positions (direct):
Y1 0.250 0.250 0.250
Y2 0.750 0.750 0.750
Lu1 0.500 0.500 0.500
Th1 0.000 0.000 0.000

Calculated values
* formation enthalpy at 0 K: 3.7 kcal/mol of atoms
* energy: -6.0581 eV per atom
* SG: Fm-3m (225)
* energy above the most stable polymorph in this dataset: 125.7 meV per atom



No. 8
The following is a GGA-PBE calculation of an optimized crystal structure of PrBeZn3, from the Alexandria database.

Unit cell a=4.489 b=4.489 c=4.489 alpha=90.00 beta=90.00 gamma=90.00
Positions (direct):
Pr1 0.500 0.500 0.500
Be1 0.000 0.000 0.000
Zn1 0.000 0.500 0.000
Zn2 0.000 0.000 0.500
Zn3 0.500 0.000 0.000

Calculated values
* formation enthalpy at 0 K: -2.1 kcal/mol of atoms
* energy: -2.5571 eV per atom
* SG: Pm-3m (221)



No. 9
The following is a GGA-PBE calculation of an optimized crystal structure of HfAl3Co4, from the Alexandria database.

Unit cell a=4.133 b=5.932 c=8.267 alpha=90.00 beta=90.00 gamma=90.00
Last column: magnetic moment on the atom in μB.
Positions (direct):
Co1 0.500 0.763 0.000  0.15
Co2 0.500 0.763 0.500  0.15
Co3 0.500 0.237 0.000  0.15
Co4 0.500 0.237 0.500  0.15
Co5 0.000 0.763 0.750  0.15
Co6 0.000 0.763 0.250  0.15
Co7 0.000 0.237 0.250  0.15
Co8 0.000 0.237 0.750  0.15
Hf1 0.000 0.500 0.000  -0.03
Hf2 0.000 0.500 0.500  -0.03
Al1 0.000 0.000 0.000  0.00
Al2 0.000 0.000 0.500  0.00
Al3 0.500 0.000 0.750  0.00
Al4 0.500 0.000 0.250  0.00
Al5 0.500 0.500 0.750  0.00
Al6 0.500 0.500 0.250  0.00

Calculated values
* formation enthalpy at 0 K: -12.9 kcal/mol of atoms
* energy: -6.7616 eV per atom
* SG: P4/mmm (123)



No. 10
The following is a GGA-PBE calculation of an optimized crystal structure of Tb3Dy2Ho8, from the Alexandria database.

Unit cell a=5.566 b=7.577 c=10.743 alpha=110.67 beta=90.02 gamma=90.00
Positions (direct):
Tb1 0.500 0.000 0.000
Tb2 0.000 0.287 0.000
Tb3 0.000 0.713 0.000
Dy1 0.499 0.241 0.483
Dy2 0.501 0.759 0.517
Ho1 0.000 0.668 0.336
Ho2 0.000 0.332 0.664
Ho3 0.000 0.133 0.266
Ho4 0.000 0.867 0.734
Ho5 0.500 0.603 0.783
Ho6 0.500 0.180 0.783
Ho7 0.500 0.820 0.217
Ho8 0.500 0.397 0.217

Calculated values
* formation enthalpy at 0 K: 5.6 kcal/mol of atoms
* energy: -4.3505 eV per atom
* SG: C2/m (12)
* energy above the most stable polymorph in this dataset: 223.8 meV per atom



No. 11
The following is a GGA-PBE calculation of an optimized crystal structure of Er4BSe2S, from the Alexandria database.

Unit cell a=5.565 b=5.565 c=6.831 alpha=114.04 beta=114.04 gamma=90.00
Positions (direct):
Er1 0.976 0.476 0.952
Er2 0.524 0.024 0.048
Er3 0.745 0.745 0.491
Er4 0.255 0.255 0.509
B1 0.750 0.250 0.500
Se1 0.250 0.750 0.500
Se2 0.000 0.000 0.000
S1 0.500 0.500 0.000

Calculated values
* formation energy from raw total energies: -1.4577 eV per atom
* energy: -5.9609 eV per atom
* SG: I-4m2 (119)



No. 12
The following is a GGA-PBE calculation of an optimized crystal structure of CaZrPd2, from the Alexandria database.

Unit cell a=7.502 b=7.502 c=6.166 alpha=52.53 beta=52.53 gamma=90.00
Positions (direct):
Ca1 0.500 0.500 0.000
Ca2 0.250 0.750 0.500
Zr1 0.000 0.000 0.000
Zr2 0.750 0.250 0.500
Pd1 0.651 0.125 0.250
Pd2 0.099 0.625 0.250
Pd3 0.375 0.349 0.750
Pd4 0.875 0.901 0.750

Calculated values
* formation enthalpy at 0 K: -4.9 kcal/mol of atoms
* energy: -5.4475 eV per atom
* SG: I-42d (122)